(1)
ErSi2Mo: relaxed, PBE.

It has space group R-3m (No. 166, hexagonal axes), with a = 3.5956 Å, b = 3.5956 Å, c = 20.1403 Å, α = 90.00°, β = 90.00° and γ = 120.00°. The distinct sites, in fractional coordinates, are Er at (0.0000, 0.0000, 0.0000), Si at (0.0000, 0.0000, 0.2384) and Mo at (0.0000, 0.0000, 0.5000).

The formation energy without anion corrections is -276 meV/atom. Its final energy is -6.84 eV/atom.

(2)
ErSi2TcMo: relaxed, PBE.

It has space group I-4m2 (No. 119), with a = 4.011 Å, b = 4.011 Å, c = 10.719 Å, α = 90.00°, β = 90.00° and γ = 90.00°. The distinct sites, in fractional coordinates, are Er at (0.000, 0.000, 0.000), Si at (0.000, 0.000, 0.388), Tc at (0.000, 0.500, 0.250) and Mo at (0.000, 0.500, 0.750).

The formation energy without anion corrections is -538 meV/atom. Its final energy is -7.86 eV/atom.

(3)
SmErMo4: relaxed, PBE.

It has space group F-43m (No. 216), with a = 7.822 Å, b = 7.822 Å, c = 7.822 Å, α = 90.00°, β = 90.00° and γ = 90.00°. The distinct sites, in fractional coordinates, are Sm at (0.000, 0.000, 0.000), Er at (0.250, 0.250, 0.750) and Mo at (0.125, 0.125, 0.375).

As for the energy of formation: 0.134 eV per atom. Its final energy is -8.63 eV/atom.

(4)
ErSnMo: relaxed, PBE.

It has space group P-62m (No. 189), with a = 7.2143 Å, b = 7.2143 Å, c = 4.5731 Å, α = 90.00°, β = 90.00° and γ = 120.00°. The distinct sites, in fractional coordinates, are Er at (0.0000, 0.4223, 0.0000), Sn at (0.0000, 0.0000, 0.0000), Sn at (0.3333, 0.6667, 0.5000) and Mo at (0.0000, 0.7867, 0.5000).

As for the energy of formation: -0.125 eV per atom. Its final energy is -6.59 eV/atom.